Below is crystalline Pm2ZnBr at its relaxed geometry, with properties calculated at the PBE level.

Unit cell a=3.5526 b=3.5526 c=8.2181 alpha=90.00 beta=90.00 gamma=90.00
With the nearest neighbours (Å) after each atom.
Fractional positions:
Pm 0.0000 0.0000 0.2245  4 Zn 3.12, 4 Br 3.38
Br 0.5000 0.5000 0.5000  8 Pm 3.38, 4 Br 3.55
Zn 0.5000 0.5000 0.0000  8 Pm 3.12
Pm 0.0000 0.0000 0.7755  4 Zn 3.12, 4 Br 3.38

Computed properties:
Total magnetization: 0.00 μB per atom
Symmetry: No. 123
Relative energy among the computed polymorphs: 46.7 meV per atom
Volume: 104 Å³/f.u.
Formation energy from raw total energies: -0.653 eV/atom

***

Below is crystalline CuP2H4O4 at its relaxed geometry, with properties calculated at the PBE level.

Unit cell a=5.6108 b=6.4254 c=7.3046 alpha=80.91 beta=90.00 gamma=90.00
With the nearest neighbours (Å) after each atom.
Fractional positions:
O 0.4191 0.7567 0.1028  1 P 1.54
H 0.9398 0.4732 0.7174  1 P 1.41
P 0.0612 0.6586 0.7450  2 H 1.41-1.42, 2 O 1.53-1.54
O 0.5809 0.2433 0.8972  1 P 1.54
Cu 0.5000 0.5000 0.0000  4 O 1.97
H 0.4592 0.2960 0.5738  1 P 1.42
P 0.5612 0.8414 0.2550  2 H 1.41-1.42, 2 O 1.53-1.54
H 0.4398 0.0268 0.2826  1 P 1.41
Cu 0.0000 0.0000 0.0000  4 O 1.97
O 0.9191 0.7433 0.8972  1 P 1.54
H 0.5602 0.9732 0.7174  1 P 1.41
O 0.3284 0.6136 0.7713  1 P 1.53
O 0.1716 0.1136 0.7713  1 P 1.53
H 0.5408 0.7040 0.4262  1 P 1.42
P 0.9388 0.3414 0.2550  2 H 1.41-1.42, 2 O 1.53-1.54
H 0.9592 0.2040 0.4262  1 P 1.42
O 0.8284 0.8864 0.2287  1 P 1.53
H 0.0602 0.5268 0.2826  1 P 1.41
H 0.0408 0.7960 0.5738  1 P 1.42
P 0.4388 0.1586 0.7450  2 H 1.41-1.42, 2 O 1.53-1.54
O 0.0809 0.2567 0.1028  1 P 1.54
O 0.6716 0.3864 0.2287  1 P 1.53

Computed properties:
Total magnetization: 0.09 μB per atom
Symmetry: No. 14
Relative energy among the computed polymorphs: 0.0 meV per atom
Volume: 130 Å³/f.u.

***

Below is crystalline La7TeI12 at its relaxed geometry, with properties calculated at the PBE level.

Unit cell a=10.2040 b=10.2040 c=10.2040 alpha=108.20 beta=108.20 gamma=108.20
With the nearest neighbours (Å) after each atom.
Fractional positions:
I 0.6903 0.2279 0.0771  3 La 3.26-3.36
La 0.5000 0.5000 0.5000  6 I 3.24
I 0.3097 0.7721 0.9229  3 La 3.26-3.36
I 0.9229 0.3097 0.7721  3 La 3.26-3.36
I 0.4789 0.1567 0.3963  3 La 3.24-3.27
Te 0.0000 0.0000 0.0000  6 La 3.03
I 0.2279 0.0771 0.6903  3 La 3.26-3.36
I 0.3963 0.4789 0.1567  3 La 3.24-3.27
I 0.0771 0.6903 0.2279  3 La 3.26-3.36
La 0.8826 0.9555 0.6692  1 Te 3.03, 5 I 3.26-3.36
La 0.0445 0.3308 0.1174  1 Te 3.03, 5 I 3.26-3.36
La 0.9555 0.6692 0.8826  1 Te 3.03, 5 I 3.26-3.36
I 0.7721 0.9229 0.3097  3 La 3.26-3.36
La 0.3308 0.1174 0.0445  1 Te 3.03, 5 I 3.26-3.36
La 0.1174 0.0445 0.3308  1 Te 3.03, 5 I 3.26-3.36
I 0.5211 0.8433 0.6037  3 La 3.24-3.27
I 0.6037 0.5211 0.8433  3 La 3.24-3.27
La 0.6692 0.8826 0.9555  1 Te 3.03, 5 I 3.26-3.36
I 0.1567 0.3963 0.4789  3 La 3.24-3.27
I 0.8433 0.6037 0.5211  3 La 3.24-3.27

Computed properties:
Total magnetization: 0.01 μB per atom
Symmetry: No. 148
Volume: 854 Å³/f.u.
Formation energy from raw total energies: -1.428 eV/atom

***

Below is crystalline ZrAs2N at its relaxed geometry, with properties calculated at the PBE level.

Unit cell a=4.5610 b=4.5610 c=4.5610 alpha=60.00 beta=60.00 gamma=60.00
With the nearest neighbours (Å) after each atom.
Fractional positions:
As 0.7500 0.7500 0.7500  4 Zr 2.79, 4 N 2.79
As 0.2500 0.2500 0.2500  4 Zr 2.79, 4 N 2.79
N 0.0000 0.0000 0.0000  8 As 2.79
Zr 0.5000 0.5000 0.5000  8 As 2.79

Computed properties:
Total magnetization: 0.00 μB per atom
Symmetry: No. 225
Relative energy among the computed polymorphs: 603.2 meV per atom
Volume: 67 Å³/f.u.
Formation energy from raw total energies: 0.861 eV/atom